Computed, not measured: an optimized crystal structure of Tb2CeScBi4 at the PBE-GGA level of DFT.

Geometry as CIF:
```
data_Tb2CeScBi4
_cell_length_a 7.7231
_cell_length_b 4.4735
_cell_length_c 7.7479
_cell_angle_alpha 90.00
_cell_angle_beta 109.45
_cell_angle_gamma 90.00
_space_group_name_H-M_alt 'P 1 2/m 1'
_space_group_IT_number 10
loop_
_space_group_symop_operation_xyz
'x,y,z'
'-x,-y,-z'
'-x,y,-z'
'x,-y,z'
loop_
_atom_site_label
_atom_site_type_symbol
_atom_site_fract_x
_atom_site_fract_y
_atom_site_fract_z
Tb1 Tb 0.0000 0.0000 0.0000
Tb2 Tb 0.5000 0.5000 0.0000
Ce1 Ce 0.0000 0.5000 0.5000
Sc1 Sc 0.5000 0.0000 0.5000
Bi1 Bi 0.2586 0.0000 0.7485
Bi2 Bi 0.2616 0.5000 0.2586
```

Results
**Crystal system**: monoclinic
**Uncorrected energy**: -5.416 eV/atom
**Energy relative to the elements**: -0.78 eV per atom
**Calculated volume**: 31.55 A^3/atom



Computed, not measured: an optimized crystal structure of CaLa3Hg at the PBE-GGA level of DFT.

Geometry as CIF:
```
data_CaLa3Hg
_cell_length_a 5.8272
_cell_length_b 5.8272
_cell_length_c 5.8272
_cell_angle_alpha 90.00
_cell_angle_beta 90.00
_cell_angle_gamma 90.00
_space_group_name_H-M_alt 'P m -3 m'
_space_group_IT_number 221
_space_group_name_Hall '-P 4 2 3'
loop_
_atom_site_label
_atom_site_type_symbol
_atom_site_fract_x
_atom_site_fract_y
_atom_site_fract_z
Ca1 Ca 0.0000 0.0000 0.0000
La1 La 0.0000 0.0000 0.5000
Hg1 Hg 0.5000 0.5000 0.5000
```

Results
**Crystal system**: cubic
**Uncorrected energy**: -2.685 eV/atom
**Energy relative to the elements**: 0.73 eV per atom
**Calculated volume**: 39.57 A^3/atom
**E above lowest polymorph**: 581 meV/atom



Computed, not measured: an optimized crystal structure of PuTlCo at the PBE-GGA level of DFT.

Geometry as CIF:
```
data_PuTlCo
_cell_length_a 8.9841
_cell_length_b 8.9841
_cell_length_c 3.5987
_cell_angle_alpha 90.00
_cell_angle_beta 90.00
_cell_angle_gamma 90.00
_space_group_name_H-M_alt 'P 42/m'
_space_group_IT_number 84
loop_
_space_group_symop_operation_xyz
'x,y,z'
'-x,-y,-z'
'-y,x,z+1/2'
'y,-x,-z+1/2'
'-x,-y,z'
'x,y,-z'
'y,-x,z+1/2'
'-y,x,-z+1/2'
loop_
_atom_site_label
_atom_site_type_symbol
_atom_site_fract_x
_atom_site_fract_y
_atom_site_fract_z
Pu1 Pu 0.0443 0.7529 0.0000
Tl1 Tl 0.2188 0.4741 0.5000
Co1 Co 0.2282 0.2488 0.0000
```

Results
**Crystal system**: tetragonal
**Uncorrected energy**: -7.674 eV/atom
**Energy relative to the elements**: 0.26 eV per atom
**Calculated volume**: 24.21 A^3/atom



Computed, not measured: an optimized crystal structure of NpPaTc2 at the PBE-GGA level of DFT.

Geometry as CIF:
```
data_NpPaTc2
_cell_length_a 6.8033
_cell_length_b 6.8033
_cell_length_c 6.8033
_cell_angle_alpha 90.00
_cell_angle_beta 90.00
_cell_angle_gamma 90.00
_space_group_name_H-M_alt 'F m -3 m'
_space_group_IT_number 225
_space_group_name_Hall '-F 4 2 3'
loop_
_atom_site_label
_atom_site_type_symbol
_atom_site_fract_x
_atom_site_fract_y
_atom_site_fract_z
Np1 Np 0.0000 0.0000 0.0000
Pa1 Pa 0.0000 0.0000 0.5000
Tc1 Tc 0.2500 0.2500 0.2500
```

Results
**Crystal system**: cubic
**Uncorrected energy**: -10.777 eV/atom
**Energy relative to the elements**: 0.01 eV per atom
**Calculated volume**: 19.68 A^3/atom
**E above lowest polymorph**: 0 meV/atom